(1)
## TaOsBr2 (PBE)

Data for a relaxed structure of TaOsBr2.

Cell and atoms, written as CIF:
```
data_TaOsBr2
_symmetry_space_group_name_H-M 'P 1'
_symmetry_Int_Tables_number 1
_cell_length_a 4.673
_cell_length_b 3.087
_cell_length_c 5.270
_cell_angle_alpha 90.00
_cell_angle_beta 111.83
_cell_angle_gamma 90.00
loop_
_symmetry_equiv_pos_as_xyz
'x,y,z'
loop_
_atom_site_label
_atom_site_fract_x
_atom_site_fract_y
_atom_site_fract_z
Ta1 0.000 0.000 0.000
Os1 0.000 0.500 0.500
Br1 0.500 0.000 0.500
Br2 0.500 0.500 0.000
```

---

(2)
## TaOs2Br (PBE)

Data for a relaxed structure of TaOs2Br.

Cell and atoms, written as CIF:
```
data_TaOs2Br
_symmetry_space_group_name_H-M 'P 1'
_symmetry_Int_Tables_number 1
_cell_length_a 2.963
_cell_length_b 4.209
_cell_length_c 5.371
_cell_angle_alpha 90.00
_cell_angle_beta 104.84
_cell_angle_gamma 90.00
loop_
_symmetry_equiv_pos_as_xyz
'x,y,z'
loop_
_atom_site_label
_atom_site_fract_x
_atom_site_fract_y
_atom_site_fract_z
Ta1 0.000 0.000 0.000
Os1 0.366 0.500 0.744
Os2 0.634 0.500 0.256
Br1 0.000 0.000 0.500
```

---

(3)
## TaOs3Br (PBE)

Data for a relaxed structure of TaOs3Br.

Cell and atoms, written as CIF:
```
data_TaOs3Br
_symmetry_space_group_name_H-M 'P 1'
_symmetry_Int_Tables_number 1
_cell_length_a 4.517
_cell_length_b 4.517
_cell_length_c 4.517
_cell_angle_alpha 90.00
_cell_angle_beta 90.00
_cell_angle_gamma 90.00
loop_
_symmetry_equiv_pos_as_xyz
'x,y,z'
loop_
_atom_site_label
_atom_site_fract_x
_atom_site_fract_y
_atom_site_fract_z
Ta1 0.000 0.000 0.000
Os1 0.000 0.500 0.500
Os2 0.500 0.000 0.500
Os3 0.500 0.500 0.000
Br1 0.500 0.500 0.500
```

---

no.,electronic total energy (eV/atom),spin magnetization (μB per formula unit)
1,-5.715,0.00
2,-8.282,0.00
3,-7.188,0.00